<1>
## CeIn4Pt2 (PBE-GGA)

Data for a relaxed CeIn4Pt2 crystal.

Computed properties:
**Crystal system**: orthorhombic
**Magnetization**: 2.90 μB per cell

abc: 18.5772 4.5707 7.3209
angles: 90.00 90.00 90.00
Last column: nearest neighbours and their distance in Å.
Fractional positions:
Ce 0.1404 0.2500 0.0359  10 In 3.26-3.63, 4 Pt 3.30-3.47
Ce 0.3596 0.7500 0.5359  10 In 3.26-3.63, 4 Pt 3.30-3.47
Ce 0.6404 0.2500 0.4641  10 In 3.26-3.63, 4 Pt 3.30-3.47
Ce 0.8596 0.7500 0.9641  10 In 3.26-3.63, 4 Pt 3.30-3.47
In 0.0350 0.7500 0.8521  3 Pt 2.78-2.87, 1 In 3.00
In 0.0698 0.2500 0.4983  4 Pt 2.79-3.00
In 0.1857 0.7500 0.3354  4 Pt 2.76-2.81, 1 In 3.00
In 0.1907 0.7500 0.7447  3 Pt 2.75-2.77, 2 In 3.00
In 0.3093 0.2500 0.2447  3 Pt 2.75-2.77, 2 In 3.00
In 0.3143 0.2500 0.8354  4 Pt 2.76-2.81, 1 In 3.00
In 0.4302 0.7500 0.9983  4 Pt 2.79-3.00
In 0.4650 0.2500 0.3521  3 Pt 2.78-2.87, 1 In 3.00
In 0.5350 0.7500 0.6479  3 Pt 2.78-2.87, 1 In 3.00
In 0.5698 0.2500 0.0017  4 Pt 2.79-3.00
In 0.6857 0.7500 0.1646  4 Pt 2.76-2.81, 1 In 3.00
In 0.6907 0.7500 0.7553  3 Pt 2.75-2.77, 2 In 3.00
In 0.8093 0.2500 0.2553  3 Pt 2.75-2.77, 2 In 3.00
In 0.8143 0.2500 0.6646  4 Pt 2.76-2.81, 1 In 3.00
In 0.9302 0.7500 0.5017  4 Pt 2.79-3.00
In 0.9650 0.2500 0.1479  3 Pt 2.78-2.87, 1 In 3.00
Pt 0.0415 0.7500 0.2433  7 In 2.76-3.00
Pt 0.2191 0.2500 0.5427  7 In 2.75-2.81
Pt 0.2809 0.7500 0.0427  7 In 2.75-2.81
Pt 0.4585 0.2500 0.7433  7 In 2.76-3.00
Pt 0.5415 0.7500 0.2567  7 In 2.76-3.00
Pt 0.7191 0.2500 0.9573  7 In 2.75-2.81
Pt 0.7809 0.7500 0.4573  7 In 2.75-2.81
Pt 0.9585 0.2500 0.7567  7 In 2.76-3.00



<2>
## CeIn4Pt2 (PBE-GGA)

Data for a relaxed CeIn4Pt2 crystal.

Computed properties:
**Crystal system**: tetragonal
**Magnetization**: 1.43 μB per cell

abc: 8.9954 8.9954 3.9884
angles: 90.00 90.00 90.00
Last column: nearest neighbours and their distance in Å.
Fractional positions:
Ce 0.0000 0.0000 0.0000  4 Pt 3.02
Ce 0.5000 0.5000 0.5000  4 Pt 3.02
In 0.0905 0.3266 0.5000  3 Pt 2.76-2.88, 1 In 3.00
In 0.1734 0.5905 0.0000  3 Pt 2.76-2.88, 1 In 3.00
In 0.3266 0.0905 0.5000  3 Pt 2.76-2.88, 1 In 3.00
In 0.4095 0.8266 0.0000  3 Pt 2.76-2.88, 1 In 3.00
In 0.5905 0.1734 0.0000  3 Pt 2.76-2.88, 1 In 3.00
In 0.6734 0.9095 0.5000  3 Pt 2.76-2.88, 1 In 3.00
In 0.8266 0.4095 0.0000  3 Pt 2.76-2.88, 1 In 3.00
In 0.9095 0.6734 0.5000  3 Pt 2.76-2.88, 1 In 3.00
Pt 0.1788 0.8212 0.5000  6 In 2.76-2.88, 2 Ce 3.02
Pt 0.3212 0.3212 0.0000  6 In 2.76-2.88, 2 Ce 3.02
Pt 0.6788 0.6788 0.0000  6 In 2.76-2.88, 2 Ce 3.02
Pt 0.8212 0.1788 0.5000  6 In 2.76-2.88, 2 Ce 3.02



Of them, <1> has the highest stability.



<1>
## Ce2Pu2In (PBE-GGA)

Data for a relaxed Ce2Pu2In crystal.

Computed properties:
**Crystal system**: monoclinic
**Magnetization**: 24.37 μB per cell

abc: 9.1213 9.1213 5.4818
angles: 95.35 95.35 35.40
Last column: nearest neighbours and their distance in Å.
Fractional positions:
Ce 0.1394 0.6407 0.7081  2 Pu 2.77-2.86
Ce 0.3593 0.8606 0.7919  2 Pu 2.77-2.86
Ce 0.6407 0.1394 0.2081  2 Pu 2.77-2.86
Ce 0.8606 0.3593 0.2919  2 Pu 2.77-2.86
Pu 0.1225 0.4856 0.2615  2 Ce 2.77-2.86
Pu 0.4856 0.1225 0.7615  2 Ce 2.77-2.86
Pu 0.5144 0.8775 0.2385  2 Ce 2.77-2.86
Pu 0.8775 0.5144 0.7385  2 Ce 2.77-2.86
In 0.2550 0.7450 0.2500  8 Ce 3.30-3.38, 2 Pu 3.43
In 0.7450 0.2550 0.7500  8 Ce 3.30-3.38, 2 Pu 3.43



<2>
## Ce2Pu2In (PBE-GGA)

Data for a relaxed Ce2Pu2In crystal.

Computed properties:
**Crystal system**: monoclinic
**Magnetization**: 0.00 μB per cell

abc: 6.6775 6.6775 6.2862
angles: 110.24 110.24 69.76
Last column: nearest neighbours and their distance in Å.
Fractional positions:
Ce 0.0763 0.3997 0.2538  1 Pu 2.61
Ce 0.3997 0.0763 0.7538  1 Pu 2.61
Ce 0.6003 0.9237 0.2462  1 Pu 2.61
Ce 0.9237 0.6003 0.7462  1 Pu 2.61
Pu 0.1331 0.8521 0.4272  2 Pu 2.30-2.31
Pu 0.1479 0.8669 0.0728  2 Pu 2.30-2.31
Pu 0.8521 0.1331 0.9272  2 Pu 2.30-2.31
Pu 0.8669 0.1479 0.5728  2 Pu 2.30-2.31
In 0.4606 0.5394 0.7500  4 Pu 3.16-3.26, 2 In 3.20, 6 Ce 3.26-3.46
In 0.5394 0.4606 0.2500  4 Pu 3.16-3.26, 2 In 3.20, 6 Ce 3.26-3.46



Of them, <1> has the highest stability.



<1>
## CePuIn2 (PBE-GGA)

Data for a relaxed CePuIn2 crystal.

Computed properties:
**Crystal system**: tetragonal
**Magnetization**: 5.13 μB per cell

abc: 3.2646 3.2646 9.8143
angles: 90.00 90.00 90.00
Last column: nearest neighbours and their distance in Å.
Fractional positions:
Ce 0.0000 0.0000 0.0000  4 Ce 3.26, 8 In 3.38
Pu 0.0000 0.0000 0.5000  4 Pu 3.26, 8 In 3.35
In 0.5000 0.5000 0.2521  4 In 3.26, 4 Pu 3.35, 4 Ce 3.38
In 0.5000 0.5000 0.7479  4 In 3.26, 4 Pu 3.35, 4 Ce 3.38



<2>
## CePuIn2 (PBE-GGA)

Data for a relaxed CePuIn2 crystal.

Computed properties:
**Crystal system**: trigonal
**Magnetization**: 6.58 μB per cell

abc: 5.9031 5.9031 5.9031
angles: 52.27 52.27 52.27
Last column: nearest neighbours and their distance in Å.
Fractional positions:
Ce 0.0000 0.0000 0.0000  1 Pu 2.67
Pu 0.1752 0.1752 0.1752  1 Ce 2.67
In 0.4034 0.4034 0.4034  1 In 3.00, 3 Ce 3.19
In 0.6002 0.6002 0.6002  1 In 3.00, 3 Ce 3.17, 3 Pu 3.31



<3>
## CePuIn2 (PBE-GGA)

Data for a relaxed CePuIn2 crystal.

Computed properties:
**Crystal system**: tetragonal
**Magnetization**: 6.98 μB per cell

abc: 4.6333 4.6333 4.8997
angles: 90.00 90.00 90.00
Last column: nearest neighbours and their distance in Å.
Fractional positions:
Ce 0.0000 0.0000 0.0000  4 Pu 3.28, 8 In 3.37
Pu 0.5000 0.5000 0.0000  4 Ce 3.28, 8 In 3.37
In 0.0000 0.5000 0.5000  4 In 3.28, 4 Ce 3.37, 4 Pu 3.37
In 0.5000 0.0000 0.5000  4 In 3.28, 4 Ce 3.37, 4 Pu 3.37



<4>
## CePuIn2 (PBE-GGA)

Data for a relaxed CePuIn2 crystal.

Computed properties:
**Crystal system**: cubic
**Magnetization**: 6.98 μB per cell

abc: 5.4161 5.4161 5.4161
angles: 60.00 60.00 60.00
Last column: nearest neighbours and their distance in Å.
Fractional positions:
Ce 0.0000 0.0000 0.0000  8 In 3.32
Pu 0.5000 0.5000 0.5000  8 In 3.32
In 0.2500 0.2500 0.2500  4 Pu 3.32, 4 Ce 3.32
In 0.7500 0.7500 0.7500  4 Pu 3.32, 4 Ce 3.32



Of them, <3> has the highest stability.



<1>
## CePuIn2 (PBE-GGA)

Data for a relaxed CePuIn2 crystal.

Computed properties:
**Crystal system**: orthorhombic
**Magnetization**: 7.01 μB per cell

abc: 5.8458 5.8458 3.3602
angles: 90.00 90.00 112.96
Last column: nearest neighbours and their distance in Å.
Fractional positions:
Ce 0.0000 0.0000 0.0000  2 Pu 3.23, 2 Ce 3.36, 8 In 3.37
Pu 0.5000 0.5000 0.0000  2 Ce 3.23, 2 Pu 3.36, 8 In 3.37
In 0.0000 0.5000 0.5000  4 In 3.23-3.36, 4 Pu 3.37, 4 Ce 3.37
In 0.5000 0.0000 0.5000  4 In 3.23-3.36, 4 Pu 3.37, 4 Ce 3.37



<2>
## CePuIn2 (PBE-GGA)

Data for a relaxed CePuIn2 crystal.

Computed properties:
**Crystal system**: orthorhombic
**Magnetization**: 13.45 μB per cell

abc: 6.7123 6.7123 6.7123
angles: 120.39 87.56 122.46
Last column: nearest neighbours and their distance in Å.
Fractional positions:
Ce 0.2666 0.0166 0.2500  1 Pu 2.87
Ce 0.7334 0.9834 0.7500  1 Pu 2.87
Pu 0.2900 0.5400 0.7500  1 Ce 2.87
Pu 0.7100 0.4600 0.2500  1 Ce 2.87
In 0.2383 0.0000 0.7383  4 In 3.24-3.34, 4 Pu 3.33-3.41, 4 Ce 3.33-3.39
In 0.2383 0.5000 0.2383  4 In 3.24-3.34, 4 Pu 3.33-3.41, 4 Ce 3.33-3.39
In 0.7617 0.0000 0.2617  4 In 3.24-3.34, 4 Pu 3.33-3.41, 4 Ce 3.33-3.39
In 0.7617 0.5000 0.7617  4 In 3.24-3.34, 4 Pu 3.33-3.41, 4 Ce 3.33-3.39



Of them, <2> has the highest stability.



<1>
## Ce4Pu2In3 (PBE-GGA)

Data for a relaxed Ce4Pu2In3 crystal.

Computed properties:
**Crystal system**: monoclinic
**Magnetization**: 15.52 μB per cell

abc: 5.8672 5.8672 9.4048
angles: 109.58 109.58 52.86
Last column: nearest neighbours and their distance in Å.
Fractional positions:
Ce 0.0482 0.0482 0.3491  2 Pu 3.09, 4 In 3.13-3.30, 1 Ce 3.35
Ce 0.3242 0.3242 0.0166  1 Pu 2.84, 2 Ce 3.00
Ce 0.6758 0.6758 0.9834  1 Pu 2.84, 2 Ce 3.00
Ce 0.9518 0.9518 0.6509  2 Pu 3.09, 4 In 3.13-3.30, 1 Ce 3.35
Pu 0.3259 0.3259 0.7149  3 Ce 2.84-3.09
Pu 0.6741 0.6741 0.2851  3 Ce 2.84-3.09
In 0.0000 0.0000 0.0000  8 Ce 3.13-3.35
In 0.3661 0.3661 0.3753  1 In 2.91, 2 Pu 3.21, 2 Ce 3.24-3.26
In 0.6338 0.6338 0.6247  1 In 2.91, 2 Pu 3.21, 2 Ce 3.24-3.26



<2>
## Ce4Pu2In3 (PBE-GGA)

Data for a relaxed Ce4Pu2In3 crystal.

Computed properties:
**Crystal system**: triclinic
**Magnetization**: 0.90 μB per cell

abc: 6.7194 8.3908 9.3604
angles: 100.53 98.20 110.05
Last column: nearest neighbours and their distance in Å.
Fractional positions:
Ce 0.1440 0.3289 0.1486  1 Pu 2.68
Ce 0.1878 0.4995 0.6220  2 Pu 2.66-2.87, 1 Ce 2.75
Ce 0.3313 0.1904 0.7857  1 Pu 2.64
Ce 0.3541 0.8459 0.6132  1 Ce 2.75
Ce 0.6459 0.1541 0.3868  1 Ce 2.75
Ce 0.6687 0.8096 0.2143  1 Pu 2.64
Ce 0.8122 0.5005 0.3780  2 Pu 2.66-2.87, 1 Ce 2.75
Ce 0.8560 0.6711 0.8514  1 Pu 2.68
Pu 0.3297 0.5931 0.9402  2 Ce 2.87-2.98
Pu 0.4637 0.5845 0.3585  3 Ce 2.64-2.68
Pu 0.5363 0.4155 0.6415  3 Ce 2.64-2.68
Pu 0.6703 0.4069 0.0598  2 Ce 2.87-2.98
In 0.1387 0.1107 0.4124  2 In 3.04-3.19, 1 Pu 3.16, 4 Ce 3.31-3.37
In 0.1461 0.7537 0.2280  2 In 2.90-3.19, 1 Pu 3.17, 1 Ce 3.20
In 0.2987 0.0000 0.0494  2 In 2.90-2.98, 1 Ce 3.17
In 0.7013 0.0000 0.9506  2 In 2.90-2.98, 1 Ce 3.17
In 0.8539 0.2463 0.7720  2 In 2.90-3.19, 1 Pu 3.17, 1 Ce 3.20
In 0.8613 0.8893 0.5876  2 In 3.04-3.19, 1 Pu 3.16, 4 Ce 3.31-3.37



Of them, <1> has the highest stability.